Below is a relaxed NbTe2I crystal, with properties calculated at the PBE-GGA level.

Geometry as CIF:
```
data_NbTe2I
_symmetry_space_group_name_H-M 'R -3 m'
_symmetry_Int_Tables_number 166
_symmetry_space_group_name_Hall '-R 3 2"'
_cell_length_a 3.6549
_cell_length_b 3.6549
_cell_length_c 30.9950
_cell_angle_alpha 90.00
_cell_angle_beta 90.00
_cell_angle_gamma 120.00
loop_
_atom_site_label
_atom_site_type_symbol
_atom_site_fract_x
_atom_site_fract_y
_atom_site_fract_z
Nb1 Nb 0.0000 0.0000 0.0000
Te1 Te 0.0000 0.0000 0.2731
I1 I 0.0000 0.0000 0.5000
```

ΔE_f (raw) (eV/atom): -0.26
Total moment (μB per formula unit): 0.00
Relative energy among the computed polymorphs (kJ per mole of atoms): 0.0